First-principles (PBE) data for an optimized crystal structure of Pr2Ni3P4Ru, as listed in the Alexandria database.

Geometry as extended XYZ:
```
10
Lattice="4.0594 0.0000 0.0000 0.0000 4.0594 0.0000 0.0000 0.0000 9.4652" Properties=species:S:1:pos:R:3 pbc="T T T"
Pr 0.0000 2.0297 2.2726
Pr 2.0297 0.0000 7.1927
Ni 0.0000 2.0297 8.3980
Ni 2.0297 0.0000 1.0673
Ni 2.0297 2.0297 4.7326
P 0.0000 0.0000 0.0000
P 0.0000 2.0297 6.0172
P 2.0297 0.0000 3.4480
P 2.0297 2.0297 0.0000
Ru 0.0000 0.0000 4.7326
```

Output
The formation enthalpy at 0 K is -0.950 eV/atom. The symmetry is P-4m2 (115).